No. 1
BaH3Au: optimized geometry, PBE.

The excess energy over the best structure of this formula in the dataset is 0.000 eV/atom. The space group is No. 160. For the volume, the calculation gives 16.3 A^3/atom.

Cell lengths 4.352, 4.352, 4.352 Å; angles 84.82, 84.82, 84.82 degrees
Sites, in units of the cell vectors:
Ba 0.000 0.000 0.000
H 0.057 0.569 0.569
H 0.569 0.057 0.569
H 0.569 0.569 0.057
Au 0.416 0.416 0.416

---

No. 2
MgNb3Rh: optimized geometry, PBE.

The excess energy over the best structure of this formula in the dataset is 0.000 eV/atom. The space group is No. 221. For the volume, the calculation gives 23.0 A^3/atom.

Cell lengths 4.861, 4.861, 4.861 Å; angles 90.00, 90.00, 90.00 degrees
Sites, in units of the cell vectors:
Mg 0.000 0.000 0.000
Nb 0.000 0.500 0.500
Nb 0.500 0.000 0.500
Nb 0.500 0.500 0.000
Rh 0.500 0.500 0.500

---

No. 3
Dy8TlIn2: optimized geometry, PBE.

The excess energy over the best structure of this formula in the dataset is 0.000 eV/atom. The space group is No. 12. For the volume, the calculation gives 29.1 A^3/atom.

Cell lengths 8.581, 8.581, 8.581 Å; angles 119.30, 119.30, 36.19 degrees
Sites, in units of the cell vectors:
Dy 0.065 0.065 0.218
Dy 0.139 0.139 0.684
Dy 0.319 0.319 0.555
Dy 0.408 0.408 0.047
Dy 0.592 0.592 0.953
Dy 0.681 0.681 0.445
Dy 0.861 0.861 0.316
Dy 0.935 0.935 0.782
Tl 0.500 0.500 0.500
In 0.224 0.224 0.119
In 0.776 0.776 0.881

---

No. 4
MgPtI: optimized geometry, PBE.

The space group is No. 1. The calculation puts the total energy at -3.613 eV per atom. For the volume, the calculation gives 30.7 A^3/atom.

Cell lengths 4.197, 4.841, 10.175 Å; angles 98.16, 90.14, 115.67 degrees
Sites, in units of the cell vectors:
Mg 0.000 0.000 0.000
Mg 0.186 0.376 0.769
Pt 0.697 0.395 0.948
Pt 0.859 0.724 0.750
I 0.595 0.188 0.186
I 0.977 0.964 0.529

---

No. 5
Ga2SbRh: optimized geometry, PBE.

The space group is No. 122. The calculation puts the total energy at -4.265 eV per atom. For the volume, the calculation gives 25.7 A^3/atom.

Cell lengths 7.254, 7.254, 7.254 Å; angles 132.16, 132.16, 69.97 degrees
Sites, in units of the cell vectors:
Ga 0.082 0.625 0.957
Ga 0.375 0.332 0.457
Ga 0.668 0.125 0.043
Ga 0.875 0.918 0.543
Sb 0.250 0.750 0.500
Sb 0.500 0.500 0.000
Rh 0.000 0.000 0.000
Rh 0.750 0.250 0.500

---

No. 6
HoMoIr: optimized geometry, PBE.

The space group is No. 189. The calculation puts the total energy at -8.450 eV per atom. For the volume, the calculation gives 19.7 A^3/atom.

Cell lengths 6.620, 6.620, 4.667 Å; angles 90.00, 90.00, 120.00 degrees
Sites, in units of the cell vectors:
Ho 0.000 0.577 0.000
Ho 0.423 0.423 0.000
Ho 0.577 0.000 0.000
Mo 0.000 0.231 0.500
Mo 0.231 0.000 0.500
Mo 0.769 0.769 0.500
Ir 0.000 0.000 0.000
Ir 0.333 0.667 0.500
Ir 0.667 0.333 0.500

---

No. 7
Mg5Tl2In2: optimized geometry, PBE.

The excess energy over the best structure of this formula in the dataset is 0.019 eV/atom. The space group is No. 64. For the volume, the calculation gives 25.3 A^3/atom.

Cell lengths 8.538, 8.538, 7.695 Å; angles 90.00, 90.00, 54.23 degrees
Sites, in units of the cell vectors:
Mg 0.000 0.000 0.000
Mg 0.032 0.695 0.671
Mg 0.195 0.532 0.171
Mg 0.305 0.968 0.671
Mg 0.468 0.805 0.171
Mg 0.500 0.500 0.500
Mg 0.532 0.195 0.829
Mg 0.695 0.032 0.329
Mg 0.805 0.468 0.829
Mg 0.968 0.305 0.329
Tl 0.208 0.208 0.000
Tl 0.292 0.292 0.500
Tl 0.708 0.708 0.500
Tl 0.792 0.792 0.000
In 0.136 0.864 0.366
In 0.364 0.636 0.866
In 0.636 0.364 0.134
In 0.864 0.136 0.634